{"formula": "Li4Co2Ni3O10", "functional": "PBE+U", "state": "optimized geometry", "space_group": "No. 2", "total_magnetization_mub_per_cell": 5.9, "rho_g_cm3": 4.69, "energy_ev_per_atom": -5.15, "lattice_angstrom": [[-3.2671, -0.8459, -3.6870], [2.8415, -4.1700, -0.2143], [-3.5084, -0.9368, 6.6642]], "species": ["Li", "Li", "Li", "Li", "O", "O", "O", "O", "O", "O", "O", "O", "O", "O", "Ni", "Ni", "Ni", "Co", "Co"], "fractional_positions": [[0.3028, 0.3854, 0.7753], [0.0834, 0.7735, 0.5926], [0.9166, 0.2265, 0.4074], [0.6972, 0.6146, 0.2247], [0.5204, 0.7851, 0.7696], [0.9239, 0.9483, 0.1530], [0.0761, 0.0517, 0.8470], [0.2993, 0.6777, 0.0636], [0.3238, 0.1100, 0.5476], [0.7007, 0.3223, 0.9364], [0.8991, 0.4255, 0.6680], [0.6762, 0.8900, 0.4524], [0.4796, 0.2149, 0.2304], [0.1009, 0.5745, 0.3320], [0.1059, 0.3051, 0.1034], [0.8941, 0.6949, 0.8966], [0.5000, 0.0000, 0.0000], [0.3068, 0.8976, 0.3090], [0.6932, 0.1024, 0.6910]]}